# Sr2LiTl3Pd4 (PBE, optimized geometry)
data_Sr2LiTl3Pd4
_cell_length_a 4.255
_cell_length_b 4.255
_cell_length_c 12.943
_cell_angle_alpha 90.00
_cell_angle_beta 90.00
_cell_angle_gamma 90.00
_symmetry_space_group_name_H-M 'P -4 m 2'
_symmetry_Int_Tables_number 115
loop_
_symmetry_equiv_pos_as_xyz
'x,y,z'
'y,-x,-z'
'-x,-y,z'
'-y,x,-z'
'-x,y,z'
'-y,-x,-z'
'x,-y,z'
'y,x,-z'
loop_
_atom_site_label
_atom_site_type_symbol
_atom_site_fract_x
_atom_site_fract_y
_atom_site_fract_z
Sr1 Sr 0.000 0.500 0.233
Li1 Li 0.500 0.500 0.000
Tl1 Tl 0.000 0.000 0.000
Tl2 Tl 0.000 0.500 0.637
Pd1 Pd 0.000 0.000 0.500
Pd2 Pd 0.000 0.500 0.855
Pd3 Pd 0.500 0.500 0.500
# final energy = -0.27558 Ry per atom
# energy relative to the elements = -0.435 eV per atom
# size of the total moment = 0.000 μB per formula unit